No. 1
DFT (PBE) results for a relaxed structure of Li3U3SnS8.

## Properties
For the formation energy from raw total energies, the calculation gives -1.204 eV/atom. The calculation puts the mass density at 5.5 Mg/m³. The uncorrected energy is -6.313 eV/atom.

Lattice parameters (Å, degrees): 7.632 7.632 7.632 63.00 63.00 63.00
Element x y z (fractional)
1 Li 0.000 0.500 0.500
2 Li 0.500 0.000 0.500
3 Li 0.500 0.500 0.000
4 U 0.000 0.000 0.500
5 U 0.000 0.500 0.000
6 U 0.500 0.000 0.000
7 Sn 0.500 0.500 0.500
8 S 0.237 0.753 0.753
9 S 0.247 0.247 0.763
10 S 0.247 0.763 0.247
11 S 0.252 0.252 0.252
12 S 0.748 0.748 0.748
13 S 0.753 0.237 0.753
14 S 0.753 0.753 0.237
15 S 0.763 0.247 0.247



No. 2
DFT (PBE) results for a relaxed structure of Nd2Ga12Co.

## Properties
The calculation puts the mass density at 6.9 Mg/m³. The uncorrected energy is -3.916 eV/atom. The value obtained for the formation energy is -0.386 eV per atom.

Lattice parameters (Å, degrees): 6.041 6.041 15.603 90.00 90.00 90.00
Element x y z (fractional)
1 Nd 0.250 0.750 0.239
2 Nd 0.250 0.750 0.761
3 Nd 0.750 0.250 0.239
4 Nd 0.750 0.250 0.761
5 Ga 0.000 0.000 0.082
6 Ga 0.000 0.000 0.918
7 Ga 0.000 0.500 0.082
8 Ga 0.000 0.500 0.918
9 Ga 0.081 0.581 0.431
10 Ga 0.081 0.919 0.569
11 Ga 0.250 0.250 0.186
12 Ga 0.250 0.250 0.344
13 Ga 0.250 0.250 0.656
14 Ga 0.250 0.250 0.814
15 Ga 0.419 0.581 0.569
16 Ga 0.419 0.919 0.431
17 Ga 0.500 0.000 0.082
18 Ga 0.500 0.000 0.918
19 Ga 0.500 0.500 0.082
20 Ga 0.500 0.500 0.918
21 Ga 0.581 0.081 0.569
22 Ga 0.581 0.419 0.431
23 Ga 0.750 0.750 0.186
24 Ga 0.750 0.750 0.344
25 Ga 0.750 0.750 0.656
26 Ga 0.750 0.750 0.814
27 Ga 0.919 0.081 0.431
28 Ga 0.919 0.419 0.569
29 Co 0.250 0.750 0.000
30 Co 0.750 0.250 0.000



No. 3
DFT (PBE) results for a relaxed structure of CuAuSeN2.

## Properties
For the formation energy from raw total energies, the calculation gives 1.456 eV/atom. The calculation puts the mass density at 7.2 Mg/m³. The uncorrected energy is -4.046 eV/atom. For the energy above the lowest structure with this stoichiometry, the calculation gives 0.0 meV per atom.

Lattice parameters (Å, degrees): 3.755 3.755 5.970 90.00 90.00 90.00
Element x y z (fractional)
1 Cu 0.000 0.000 0.000
2 Au 0.500 0.500 0.500
3 Se 0.000 0.000 0.500
4 N 0.000 0.500 0.000
5 N 0.500 0.000 0.000



No. 4
DFT (PBE) results for a relaxed structure of Nd3CoBr3.

## Properties
For the formation energy from raw total energies, the calculation gives -1.170 eV/atom. The calculation puts the mass density at 5.6 Mg/m³. The uncorrected energy is -4.945 eV/atom.

Lattice parameters (Å, degrees): 8.953 4.077 12.004 90.00 92.92 90.00
Element x y z (fractional)
1 Nd 0.102 0.250 0.386
2 Nd 0.120 0.250 0.841
3 Nd 0.317 0.750 0.622
4 Nd 0.683 0.250 0.378
5 Nd 0.880 0.750 0.159
6 Nd 0.898 0.750 0.614
7 Co 0.111 0.250 0.622
8 Co 0.889 0.750 0.378
9 Br 0.125 0.250 0.115
10 Br 0.368 0.750 0.874
11 Br 0.391 0.750 0.372
12 Br 0.609 0.250 0.628
13 Br 0.632 0.250 0.126
14 Br 0.875 0.750 0.885



No. 5
DFT (PBE) results for a relaxed structure of Al2CrRu.

## Properties
The calculation puts the mass density at 6.2 Mg/m³. The uncorrected energy is -6.693 eV/atom. The value obtained for the formation energy is -0.097 eV per atom.

Lattice parameters (Å, degrees): 8.468 8.468 8.468 18.86 18.86 18.86
Element x y z (fractional)
1 Al 0.249 0.249 0.249
2 Al 0.751 0.751 0.751
3 Cr 0.000 0.000 0.000
4 Ru 0.500 0.500 0.500



No. 6
DFT (PBE) results for a relaxed structure of LiYIr2.

## Properties
The calculation puts the mass density at 9.8 Mg/m³. The uncorrected energy is -6.572 eV/atom. The value obtained for the formation energy is -0.047 eV per atom.

Lattice parameters (Å, degrees): 9.067 9.067 9.067 152.10 152.10 39.87
Element x y z (fractional)
1 Li 0.000 0.000 0.000
2 Li 0.750 0.250 0.500
3 Y 0.250 0.750 0.500
4 Y 0.500 0.500 0.000
5 Ir 0.375 0.248 0.373
6 Ir 0.752 0.125 0.127
7 Ir 0.875 0.002 0.627
8 Ir 0.998 0.625 0.873



No. 7
DFT (PBE) results for a relaxed structure of BiAs2PtBr.

## Properties
For the formation energy from raw total energies, the calculation gives 0.352 eV/atom. The calculation puts the mass density at 8.3 Mg/m³. The uncorrected energy is -3.827 eV/atom. For the energy above the lowest structure with this stoichiometry, the calculation gives 0.0 meV per atom.

Lattice parameters (Å, degrees): 4.969 4.969 5.125 90.00 90.00 90.00
Element x y z (fractional)
1 Bi 0.000 0.000 0.000
2 As 0.000 0.500 0.500
3 As 0.500 0.000 0.500
4 Pt 0.500 0.500 0.500
5 Br 0.500 0.500 0.000



No. 8
DFT (PBE) results for a relaxed structure of LiB4C2.

## Properties
The calculation puts the mass density at 2.1 Mg/m³. The uncorrected energy is -6.094 eV/atom. For the energy above the lowest structure with this stoichiometry, the calculation gives 433.6 meV per atom. The value obtained for the formation energy is 0.631 eV per atom.

Lattice parameters (Å, degrees): 6.542 6.542 2.776 90.00 90.00 90.00
Element x y z (fractional)
1 Li 0.000 0.000 0.000
2 Li 0.500 0.500 0.500
3 B 0.064 0.377 0.500
4 B 0.123 0.564 0.000
5 B 0.377 0.064 0.500
6 B 0.436 0.877 0.000
7 B 0.564 0.123 0.000
8 B 0.623 0.936 0.500
9 B 0.877 0.436 0.000
10 B 0.936 0.623 0.500
11 C 0.195 0.195 0.500
12 C 0.305 0.695 0.000
13 C 0.695 0.305 0.000
14 C 0.805 0.805 0.500



| no. | size of the total moment (μB per formula unit) |
| --- | --- |
| 1 | 6.999 |
| 2 | 0.000 |
| 3 | 3.865 |
| 4 | 0.000 |
| 5 | 0.086 |
| 6 | 0.000 |
| 7 | 0.000 |
| 8 | 0.000 |